No. 1
DFT (PBE-GGA) results for a relaxed Ac8CoOs3I4 crystal.

The space group is R-3m (No. 166, hexagonal axes) and the conventional cell measures 8.7241, 8.7241 and 25.7466 Å, with angles of 90.00, 90.00 and 120.00 degrees. Symmetry generates all atoms from Ac at (0.0000, 0.0000, 0.2281), Ac at (0.0000, 0.5000, 0.2276), Co at (0.0000, 0.0000, 0.5000), Os at (0.0000, 0.5000, 0.5000), I at (0.0000, 0.0000, 0.0000) and I at (0.0000, 0.5000, 0.0000).

The raw total energy comes out at -5.57 eV/atom. The value obtained for the total magnetization is 0.0 μB/f.u.

No. 2
DFT (PBE-GGA) results for a relaxed Ac4CoPI2 crystal.

The space group is P2/m (No. 10) and the conventional cell measures 7.9695, 4.2524 and 8.7215 Å, with angles of 90.00, 106.00 and 90.00 degrees. Symmetry generates all atoms from Ac at (0.2056, 0.0000, 0.1797), Ac at (0.2610, 0.5000, 0.8063), Co at (0.0000, 0.5000, 0.0000), P at (0.5000, 0.0000, 0.0000), I at (0.0000, 0.0000, 0.5000) and I at (0.5000, 0.5000, 0.5000).

The raw total energy comes out at -4.93 eV/atom. The value obtained for the total magnetization is 0.0 μB/f.u.

No. 3
DFT (PBE-GGA) results for a relaxed Ac8Co3PI3 crystal.

The space group is C2/m (No. 12) and the conventional cell measures 15.1162, 8.7179 and 9.7832 Å, with angles of 90.00, 120.93 and 90.00 degrees. Symmetry generates all atoms from Ac at (0.0249, 0.2387, 0.3139), Ac at (0.2286, 0.0000, 0.6853), Ac at (0.2361, 0.5000, 0.6858), Co at (0.0000, 0.0000, 0.5000), Co at (0.2500, 0.2500, 0.5000), P at (0.0000, 0.5000, 0.5000), I at (0.0000, 0.5000, 0.0000) and I at (0.2500, 0.2500, 0.0000).

The raw total energy comes out at -4.89 eV/atom. The value obtained for the total magnetization is 0.6 μB/f.u.

No. 4
DFT (PBE-GGA) results for a relaxed Ac6Co2PI3 crystal.

The space group is C2/m (No. 12) and the conventional cell measures 7.5817, 13.1439 and 8.8906 Å, with angles of 90.00, 106.40 and 90.00 degrees. Symmetry generates all atoms from Ac at (0.2133, 0.0000, 0.1839), Ac at (0.2355, 0.3261, 0.1836), Co at (0.0000, 0.1668, 0.0000), P at (0.0000, 0.5000, 0.0000), I at (0.0000, 0.0000, 0.5000) and I at (0.0000, 0.3351, 0.5000).

The raw total energy comes out at -4.91 eV/atom. The value obtained for the total magnetization is 0.0 μB/f.u.